Below is crystalline SrLa2Rh at its relaxed geometry, with properties calculated at the PBE level.

- calculated total energy (eV/atom) = -5.13
- total magnetic moment (μB/atom) = 0.0009
- energy relative to the elements (meV per atom) = -412
- relative energy among the computed polymorphs (meV per atom) = 6

Cell: 10.4775 10.4775 10.4775 Å, 23.20 23.20 23.20°
With the nearest neighbours (Å) after each atom.
Positions (direct):
1 Sr 0.7500 0.7500 0.7500  6 Sr 4.21, 6 La 4.32
2 Rh 0.2500 0.2500 0.2500  6 La 2.87
3 La 0.9666 0.9666 0.9666  3 Rh 2.87
4 La 0.5334 0.5334 0.5334  3 Rh 2.87


Below is crystalline Sr2LaRh at its relaxed geometry, with properties calculated at the PBE level.

- calculated total energy (eV/atom) = -3.76
- total magnetic moment (μB/atom) = 0.0003
- energy relative to the elements (meV per atom) = 149
- relative energy among the computed polymorphs (meV per atom) = 502

Cell: 5.5412 5.5412 5.5412 Å, 119.65 119.65 90.60°
With the nearest neighbours (Å) after each atom.
Positions (direct):
1 La 0.5000 0.5000 0.0000  4 Rh 3.40, 4 Sr 3.40
2 Rh 0.7500 0.2500 0.5000  4 La 3.40, 4 Sr 3.40
3 Sr 0.0000 0.0000 0.0000  4 Sr 3.40, 4 Rh 3.40
4 Sr 0.2500 0.7500 0.5000  4 La 3.40, 4 Sr 3.40


Below is crystalline SrLa2Rh at its relaxed geometry, with properties calculated at the PBE level.

- calculated total energy (eV/atom) = -4.64
- total magnetic moment (μB/atom) = 0.0000
- energy relative to the elements (meV per atom) = 86
- relative energy among the computed polymorphs (meV per atom) = 504

Cell: 5.4554 5.4554 5.4554 Å, 60.00 60.00 60.00°
With the nearest neighbours (Å) after each atom.
Positions (direct):
1 Sr 0.0000 0.0000 0.0000  8 La 3.34
2 Rh 0.5000 0.5000 0.5000  8 La 3.34
3 La 0.2500 0.2500 0.2500  4 Rh 3.34, 4 Sr 3.34
4 La 0.7500 0.7500 0.7500  4 Rh 3.34, 4 Sr 3.34